Model P:
VASP calculation (PBE) on CeNpAu4 after structural relaxation.

Structure (CIF):
```
data_CeNpAu4
_chemical_formula_sum 'Ce1 Np1 Au4'
_symmetry_space_group_name_H-M 'P m m m'
_symmetry_Int_Tables_number 47
_cell_length_a 3.1306
_cell_length_b 4.8876
_cell_length_c 8.4540
_cell_angle_alpha 90.00
_cell_angle_beta 90.00
_cell_angle_gamma 90.00
loop_
_symmetry_equiv_pos_as_xyz
'x,y,z'
'-x,-y,-z'
'-x,-y,z'
'x,y,-z'
'x,-y,-z'
'-x,y,z'
'-x,y,-z'
'x,-y,z'
loop_
_atom_site_label
_atom_site_type_symbol
_atom_site_fract_x
_atom_site_fract_y
_atom_site_fract_z
_atom_site_occupancy
Ce1 Ce 0.0000 0.0000 0.0000 1
Np1 Np 0.0000 0.5000 0.5000 1
Au1 Au 0.5000 0.0000 0.3344 1
Au2 Au 0.5000 0.5000 0.1677 1
```

Computed properties:
ρ	14.95	g cm⁻³
D(E_F)	2.093	states/eV/atom
crystal system	orthorhombic

=====

Model Q:
VASP calculation (PBE) on CeNpAu4 after structural relaxation.

Structure (CIF):
```
data_CeNpAu4
_chemical_formula_sum 'Ce4 Np4 Au16'
_symmetry_space_group_name_H-M 'F -4 3 m'
_symmetry_Int_Tables_number 216
_symmetry_space_group_name_Hall 'F -4 2 3'
_cell_length_a 8.0709
_cell_length_b 8.0709
_cell_length_c 8.0709
_cell_angle_alpha 90.00
_cell_angle_beta 90.00
_cell_angle_gamma 90.00
loop_
_atom_site_label
_atom_site_type_symbol
_atom_site_fract_x
_atom_site_fract_y
_atom_site_fract_z
_atom_site_occupancy
Ce1 Ce 0.0000 0.0000 0.0000 1
Np1 Np 0.2500 0.2500 0.2500 1
Au1 Au 0.1249 0.1249 0.6249 1
```

Computed properties:
ρ	14.72	g cm⁻³
D(E_F)	3.481	states/eV/atom
crystal system	cubic

=====

model P has the most favorable energy; the next structure is 0.253 eV/atom above.